{
  "formula": "TeOs2Ru",
  "functional": "PBE",
  "state": "relaxed",
  "sg": "Cmmm (65)",
  "magnetic_moment_mub_per_cell": 0.000,
  "formation_energy_uncorrected_ev_per_fu": 3.17,
  "dft_energy_ev_per_atom": -7.93,
  "lattice": [[-0.804, -4.286, -1.904], [4.720, 0.439, 0.410], [-0.124, -1.168, 2.683]],
  "species": ["Os", "Te", "Ru", "Os"],
  "frac_coords": [[0.000, 0.000, 0.000], [0.000, 0.500, 0.500], [0.500, 0.000, 0.500], [0.500, 0.500, 0.000]]
}

{
  "formula": "TeOs2Ru",
  "functional": "PBE",
  "state": "relaxed",
  "sg": "Pmmm (47)",
  "magnetic_moment_mub_per_cell": 0.000,
  "formation_energy_uncorrected_ev_per_fu": 2.94,
  "dft_energy_ev_per_atom": -7.98,
  "lattice": [[2.910, 0.000, 0.000], [0.000, 3.797, 0.000], [0.000, 0.000, 5.880]],
  "species": ["Os", "Te", "Os", "Ru"],
  "frac_coords": [[0.000, 0.000, 0.472], [0.500, 0.500, 0.750], [0.000, 0.000, 0.028], [0.500, 0.500, 0.250]]
}

{
  "formula": "TeOs2Ru",
  "functional": "PBE",
  "state": "relaxed",
  "sg": "I-4m2 (119)",
  "magnetic_moment_mub_per_cell": 0.000,
  "formation_energy_uncorrected_ev_per_fu": 2.68,
  "dft_energy_ev_per_atom": -8.05,
  "lattice": [[-4.340, -1.491, -1.322], [0.302, -1.071, -4.644], [2.739, -1.408, 3.650]],
  "species": ["Os", "Ru", "Os", "Te"],
  "frac_coords": [[0.250, 0.750, 0.500], [0.500, 0.500, 0.000], [0.000, 0.000, 0.000], [0.750, 0.250, 0.500]]
}

{
  "formula": "TeOs2Ru",
  "functional": "PBE",
  "state": "relaxed",
  "sg": "P4/mmm (123)",
  "magnetic_moment_mub_per_cell": 0.250,
  "formation_energy_uncorrected_ev_per_fu": 3.59,
  "dft_energy_ev_per_atom": -7.82,
  "lattice": [[4.661, 0.000, 0.000], [0.000, 4.661, 0.000], [0.000, 0.000, 2.956]],
  "species": ["Os", "Ru", "Te", "Os"],
  "frac_coords": [[0.500, 0.500, 0.000], [0.500, 0.000, 0.500], [0.000, 0.500, 0.500], [0.000, 0.000, 0.000]]
}

{
  "formula": "Te2OsRu",
  "functional": "PBE",
  "state": "relaxed",
  "polymorph_energy_mev_per_atom": 559.3,
  "sg": "R-3m (166)",
  "magnetic_moment_mub_per_cell": 0.000,
  "formation_energy_uncorrected_ev_per_fu": 3.42,
  "dft_energy_ev_per_atom": -5.84,
  "lattice": [[1.935, 0.000, 8.754], [-0.968, 1.676, 8.754], [-0.968, -1.676, 8.754]],
  "species": ["Te", "Te", "Os", "Ru"],
  "frac_coords": [[0.905, 0.905, 0.905], [0.095, 0.095, 0.095], [0.500, 0.500, 0.500], [0.000, 0.000, 0.000]]
}

{
  "formula": "TeOsRu",
  "functional": "PBE",
  "state": "relaxed",
  "polymorph_energy_mev_per_atom": 0.0,
  "sg": "F-43m (216)",
  "magnetic_moment_mub_per_cell": 0.004,
  "formation_energy_uncorrected_ev_per_fu": 1.69,
  "dft_energy_ev_per_atom": -7.32,
  "lattice": [[-1.048, 3.781, 1.836], [-1.697, 0.076, 3.985], [2.334, 1.516, 3.320]],
  "species": ["Os", "Ru", "Te"],
  "frac_coords": [[0.750, 0.750, 0.750], [0.000, 0.000, 0.000], [0.500, 0.500, 0.500]]
}

{
  "formula": "TeOs2Ru",
  "functional": "PBE",
  "state": "relaxed",
  "sg": "I4/mmm (139)",
  "magnetic_moment_mub_per_cell": 0.000,
  "formation_energy_uncorrected_ev_per_fu": 2.83,
  "dft_energy_ev_per_atom": -8.01,
  "lattice": [[4.785, 0.010, 0.000], [1.364, 4.586, 0.000], [-3.075, -2.298, 2.857]],
  "species": ["Os", "Os", "Ru", "Te"],
  "frac_coords": [[0.500, 0.500, 0.000], [0.000, 0.000, 0.000], [0.250, 0.750, 0.500], [0.750, 0.250, 0.500]]
}

{
  "formula": "TeOs2Ru",
  "functional": "PBE",
  "state": "relaxed",
  "sg": "Cm (8)",
  "magnetic_moment_mub_per_cell": 0.000,
  "formation_energy_uncorrected_ev_per_fu": 2.47,
  "dft_energy_ev_per_atom": -8.10,
  "lattice": [[4.800, 0.001, -0.125], [3.895, 2.806, -0.125], [0.654, 0.211, 4.771]],
  "species": ["Os", "Te", "Ru", "Os"],
  "frac_coords": [[0.016, 0.016, 0.960], [0.246, 0.246, 0.266], [0.487, 0.487, 0.510], [0.751, 0.751, 0.763]]
}

{
  "formula": "TeOs2Ru",
  "functional": "PBE",
  "state": "relaxed",
  "sg": "Amm2 (38)",
  "magnetic_moment_mub_per_cell": 0.000,
  "formation_energy_uncorrected_ev_per_fu": 2.34,
  "dft_energy_ev_per_atom": -8.13,
  "lattice": [[-3.656, -1.347, 0.901], [0.894, -0.617, 2.704], [-1.021, 4.776, 2.998]],
  "species": ["Te", "Ru", "Os", "Os"],
  "frac_coords": [[0.500, 0.955, 0.715], [0.000, 0.558, 0.509], [0.500, 0.192, 0.240], [0.000, 0.794, 0.036]]
}

{
  "formula": "TeOs2Ru2",
  "functional": "PBE",
  "state": "relaxed",
  "polymorph_energy_mev_per_atom": 0.0,
  "sg": "P4/mbm (127)",
  "magnetic_moment_mub_per_cell": 0.000,
  "formation_energy_uncorrected_ev_per_fu": 2.74,
  "dft_energy_ev_per_atom": -8.28,
  "lattice": [[-4.253, 2.378, 5.877], [-5.212, -5.341, -1.611], [1.337, -1.818, 1.703]],
  "species": ["Ru", "Ru", "Ru", "Ru", "Os", "Os", "Os", "Os", "Te", "Te"],
  "frac_coords": [[0.167, 0.667, 0.500], [0.667, 0.833, 0.500], [0.833, 0.333, 0.500], [0.333, 0.167, 0.500], [0.877, 0.623, 0.000], [0.123, 0.377, 0.000], [0.377, 0.877, 0.000], [0.623, 0.123, 0.000], [0.000, 0.000, 0.000], [0.500, 0.500, 0.000]]
}

{
  "formula": "TeOs2Ru",
  "functional": "PBE",
  "state": "relaxed",
  "sg": "Imm2 (44)",
  "magnetic_moment_mub_per_cell": 0.000,
  "formation_energy_uncorrected_ev_per_fu": 3.22,
  "dft_energy_ev_per_atom": -7.91,
  "lattice": [[-4.701, -1.804, -1.845], [-1.798, -4.723, 1.793], [1.487, 5.009, 1.208]],
  "species": ["Os", "Os", "Ru", "Te"],
  "frac_coords": [[0.756, 0.256, 0.500], [0.016, 0.016, 0.000], [0.478, 0.478, 0.000], [0.250, 0.750, 0.500]]
}

{
  "formula": "Te2OsRu",
  "functional": "PBE",
  "state": "relaxed",
  "polymorph_energy_mev_per_atom": 326.1,
  "sg": "Imm2 (44)",
  "magnetic_moment_mub_per_cell": 0.000,
  "formation_energy_uncorrected_ev_per_fu": 2.48,
  "dft_energy_ev_per_atom": -6.08,
  "lattice": [[-6.848, -0.491, -1.776], [-3.464, -2.265, -5.758], [4.509, -0.731, 5.424]],
  "species": ["Ru", "Te", "Te", "Os"],
  "frac_coords": [[0.182, 0.682, 0.500], [0.735, 0.235, 0.500], [0.014, 0.014, 0.000], [0.569, 0.569, 0.000]]
}

{
  "formula": "Te2OsRu",
  "functional": "PBE",
  "state": "relaxed",
  "polymorph_energy_mev_per_atom": 281.7,
  "sg": "C2/m (12)",
  "magnetic_moment_mub_per_cell": 0.000,
  "formation_energy_uncorrected_ev_per_fu": 2.31,
  "dft_energy_ev_per_atom": -6.12,
  "lattice": [[-0.192, -1.926, -4.029], [2.458, -2.877, -2.380], [-2.485, -4.925, 1.155]],
  "species": ["Ru", "Te", "Te", "Os"],
  "frac_coords": [[0.250, 0.250, 0.250], [0.000, 0.000, 0.001], [0.500, 0.500, 0.499], [0.750, 0.750, 0.750]]
}

{
  "formula": "Te2OsRu",
  "functional": "PBE",
  "state": "relaxed",
  "polymorph_energy_mev_per_atom": 362.6,
  "sg": "Fm-3m (225)",
  "magnetic_moment_mub_per_cell": 0.923,
  "formation_energy_uncorrected_ev_per_fu": 2.63,
  "dft_energy_ev_per_atom": -6.04,
  "lattice": [[0.000, 3.327, 3.327], [3.327, 0.000, 3.327], [3.327, 3.327, 0.000]],
  "species": ["Te", "Os", "Ru", "Te"],
  "frac_coords": [[0.250, 0.250, 0.250], [0.500, 0.500, 0.500], [0.000, 0.000, 0.000], [0.750, 0.750, 0.750]]
}

{
  "formula": "TeOs2Ru",
  "functional": "PBE",
  "state": "relaxed",
  "sg": "P4/mmm (123)",
  "magnetic_moment_mub_per_cell": 0.000,
  "formation_energy_uncorrected_ev_per_fu": 3.04,
  "dft_energy_ev_per_atom": -7.96,
  "lattice": [[-2.666, -1.790, 2.371], [-2.275, -0.792, -3.156], [1.885, -3.460, -0.491]],
  "species": ["Os", "Te", "Os", "Ru"],
  "frac_coords": [[0.000, 0.000, 0.000], [0.500, 0.000, 0.500], [0.000, 0.500, 0.500], [0.500, 0.500, 0.000]]
}

{
  "formula": "TeOs2Ru",
  "functional": "PBE",
  "state": "relaxed",
  "sg": "Immm (71)",
  "magnetic_moment_mub_per_cell": 0.002,
  "formation_energy_uncorrected_ev_per_fu": 3.02,
  "dft_energy_ev_per_atom": -7.97,
  "lattice": [[5.469, -0.007, 0.000], [2.804, 4.695, 0.000], [-3.635, -3.230, 2.503]],
  "species": ["Os", "Os", "Ru", "Te"],
  "frac_coords": [[0.026, 0.026, 0.000], [0.474, 0.474, 0.000], [0.750, 0.250, 0.500], [0.250, 0.750, 0.500]]
}

{
  "formula": "Te2OsRu",
  "functional": "PBE",
  "state": "relaxed",
  "polymorph_energy_mev_per_atom": 733.2,
  "sg": "P2/m (10)",
  "magnetic_moment_mub_per_cell": 0.000,
  "formation_energy_uncorrected_ev_per_fu": 4.11,
  "dft_energy_ev_per_atom": -5.67,
  "lattice": [[-2.022, -3.771, 1.381], [2.776, -1.149, 0.927], [-0.655, 2.159, 4.938]],
  "species": ["Os", "Te", "Te", "Ru"],
  "frac_coords": [[0.500, 0.250, 0.250], [0.000, 0.479, 0.503], [0.000, 0.021, 0.997], [0.500, 0.750, 0.750]]
}

{
  "formula": "TeOs2Ru",
  "functional": "PBE",
  "state": "relaxed",
  "sg": "Cmmm (65)",
  "magnetic_moment_mub_per_cell": 0.002,
  "formation_energy_uncorrected_ev_per_fu": 4.33,
  "dft_energy_ev_per_atom": -7.64,
  "lattice": [[-0.261, 2.038, -1.961], [-2.184, -0.572, 1.723], [3.272, 6.479, 6.297]],
  "species": ["Te", "Os", "Os", "Ru"],
  "frac_coords": [[0.500, 0.500, 0.750], [0.000, 0.000, 0.022], [0.000, 0.000, 0.478], [0.500, 0.500, 0.250]]
}

{
  "formula": "Te2OsRu",
  "functional": "PBE",
  "state": "relaxed",
  "polymorph_energy_mev_per_atom": 738.5,
  "sg": "Pmmm (47)",
  "magnetic_moment_mub_per_cell": 0.000,
  "formation_energy_uncorrected_ev_per_fu": 4.13,
  "dft_energy_ev_per_atom": -5.66,
  "lattice": [[3.155, 0.000, 0.000], [0.000, 5.387, 0.000], [0.000, 0.000, 4.502]],
  "species": ["Te", "Ru", "Te", "Os"],
  "frac_coords": [[0.000, 0.000, 0.000], [0.000, 0.500, 0.500], [0.500, 0.500, 0.000], [0.500, 0.000, 0.500]]
}

{
  "formula": "Te2OsRu",
  "functional": "PBE",
  "state": "relaxed",
  "polymorph_energy_mev_per_atom": 886.2,
  "sg": "F-43m (216)",
  "magnetic_moment_mub_per_cell": 0.003,
  "formation_energy_uncorrected_ev_per_fu": 4.73,
  "dft_energy_ev_per_atom": -5.52,
  "lattice": [[4.772, 0.000, 0.000], [2.386, 4.133, 0.000], [2.386, 1.378, 3.896]],
  "species": ["Te", "Ru", "Os", "Te"],
  "frac_coords": [[0.750, 0.750, 0.750], [0.250, 0.250, 0.250], [0.500, 0.500, 0.500], [0.000, 0.000, 0.000]]
}